[1]
First-principles (PBE) data for a relaxed structure of PmDy6Tm4, as listed in Alexandria via LeMat-Bulk.

Structure (CIF):
```
data_PmDy6Tm4
_symmetry_space_group_name_H-M 'C m c m'
_symmetry_Int_Tables_number 63
_symmetry_space_group_name_Hall '-C 2c 2'
_cell_length_a 5.6484
_cell_length_b 9.6099
_cell_length_c 25.5611
_cell_angle_alpha 90.00
_cell_angle_beta 90.00
_cell_angle_gamma 90.00
loop_
_atom_site_label
_atom_site_type_symbol
_atom_site_fract_x
_atom_site_fract_y
_atom_site_fract_z
_atom_site_occupancy
Pm1 Pm 0.0000 0.1843 0.2500 1
Dy1 Dy 0.0000 0.1472 0.6806 1
Dy2 Dy 0.0000 0.1847 0.1014 1
Dy3 Dy 0.0000 0.4816 0.7500 1
Dy4 Dy 0.0000 0.5000 0.0000 1
Tm1 Tm 0.0000 0.1595 0.5422 1
Tm2 Tm 0.0000 0.4781 0.6215 1
```

Summary:
- Final energy: -4.4442 eV per atom
- Mass density: 8.597 g/cm3
- Magnetic moment: 0.00 μB per formula unit

=====

[2]
First-principles (PBE) data for a relaxed structure of SrAlP, as listed in Alexandria via LeMat-Bulk.

Structure (CIF):
```
data_SrAlP
_symmetry_space_group_name_H-M 'F -4 3 m'
_symmetry_Int_Tables_number 216
_symmetry_space_group_name_Hall 'F -4 2 3'
_cell_length_a 6.9643
_cell_length_b 6.9643
_cell_length_c 6.9643
_cell_angle_alpha 90.00
_cell_angle_beta 90.00
_cell_angle_gamma 90.00
loop_
_atom_site_label
_atom_site_type_symbol
_atom_site_fract_x
_atom_site_fract_y
_atom_site_fract_z
_atom_site_occupancy
Sr1 Sr 0.0000 0.0000 0.0000 1
Al1 Al 0.0000 0.0000 0.5000 1
P1 P 0.2500 0.2500 0.7500 1
```

Summary:
- Final energy: -3.7718 eV per atom
- Mass density: 2.863 g/cm3
- Magnetic moment: 0.00 μB per formula unit